# 1
# MnNiOs2 (GGA-PBE, optimized geometry)
# - Calculated density: 16.124 g/cm³
# - Total energy: -36.00 eV/f.u.
# - Relative energy among the computed polymorphs: 0.2970 eV/atom
data_MnNiOs2
_space_group_name_H-M_alt 'P 1'
_space_group_IT_number 1
_space_group_name_Hall 'P 1'
_cell_length_a 4.159
_cell_length_b 4.159
_cell_length_c 4.159
_cell_angle_alpha 60.00
_cell_angle_beta 60.00
_cell_angle_gamma 60.00
loop_
_atom_site_label
_atom_site_fract_x
_atom_site_fract_y
_atom_site_fract_z
Mn1 0.000 0.000 0.000
Ni1 0.500 0.500 0.500
Os1 0.250 0.250 0.250
Os2 0.750 0.750 0.750

# 2
# MnNiOs2 (GGA-PBE, optimized geometry)
# - Calculated density: 15.682 g/cm³
# - Total energy: -36.96 eV/f.u.
# - Relative energy among the computed polymorphs: 0.0556 eV/atom
data_MnNiOs2
_space_group_name_H-M_alt 'P 1'
_space_group_IT_number 1
_space_group_name_Hall 'P 1'
_cell_length_a 4.495
_cell_length_b 4.495
_cell_length_c 4.646
_cell_angle_alpha 100.06
_cell_angle_beta 100.06
_cell_angle_gamma 34.54
loop_
_atom_site_label
_atom_site_fract_x
_atom_site_fract_y
_atom_site_fract_z
Mn1 0.000 0.000 0.000
Ni1 0.500 0.500 0.500
Os1 0.253 0.253 0.749
Os2 0.747 0.747 0.251

no.,formation energy from the elements (kJ/mol of atoms)
1,34.0
2,10.7